# 1
VASP calculation (PBE-GGA) on a geometry-optimized Pm2Dy6Zr structure.

Values from the calculation:
energy of formation from the pure elements	106	meV/atom
electronic total energy	-89.41	eV per cell
N(E_F)	1.37	states/eV/atom

Lattice parameters (Å, degrees): 16.716 9.634 3.424 90.00 90.22 90.00
Space group C2/m (No. 12)
Unique sites:
Pm  0.167  0.000  0.000 (multiplicity 4)
Dy  0.000  0.175  0.500 (multiplicity 4)
Dy  0.162  0.338  0.500 (multiplicity 8)
Zr  0.000  0.500  0.000 (multiplicity 2)

***

# 2
VASP calculation (PBE-GGA) on a geometry-optimized Na15Li structure.

Values from the calculation:
energy of formation from the pure elements	17	meV/atom
electronic total energy	-21.43	eV per cell
N(E_F)	0.44	states/eV/atom

Lattice parameters (Å, degrees): 7.4254 7.4254 11.9606 90.00 90.00 120.00
Space group P-6m2 (No. 187)
Unique sites:
Na  0.0000  0.0000  0.0000 (multiplicity 1)
Na  0.0021  0.5010  0.5000 (multiplicity 3)
Na  0.3285  0.1643  0.2570 (multiplicity 6)
Na  0.3333  0.6667  0.2486 (multiplicity 2)
Na  0.5011  0.0022  0.0000 (multiplicity 3)
Li  0.0000  0.0000  0.5000 (multiplicity 1)

***

# 3
VASP calculation (PBE-GGA) on a geometry-optimized H5Pd2Pt structure.

Values from the calculation:
electronic total energy	-66.11	eV per cell
N(E_F)	0.25	states/eV/atom

Lattice parameters (Å, degrees): 3.481 8.942 4.704 90.00 108.42 90.00
Space group P2_1/m (No. 11)
Unique sites:
H  0.233  0.250  0.072 (multiplicity 2)
H  0.246  0.599  0.537 (multiplicity 4)
H  0.249  0.592  0.072 (multiplicity 4)
Pd  0.174  0.081  0.285 (multiplicity 4)
Pt  0.171  0.750  0.267 (multiplicity 2)

***

# 4
VASP calculation (PBE-GGA) on a geometry-optimized Ce3TeP2Rh9 structure.

Values from the calculation:
electronic total energy	-107.63	eV per cell
N(E_F)	1.00	states/eV/atom
raw formation energy	-0.6469	eV per atom

Lattice parameters (Å, degrees): 5.7693 5.7693 10.0592 90.00 90.00 120.00
Space group P-3m1 (No. 164)
Unique sites:
Ce  0.0000  0.0000  0.0000 (multiplicity 1)
Ce  0.3333  0.6667  0.6615 (multiplicity 2)
Te  0.0000  0.0000  0.5000 (multiplicity 1)
P  0.3333  0.6667  0.1536 (multiplicity 2)
Rh  0.0000  0.5000  0.0000 (multiplicity 3)
Rh  0.1614  0.3227  0.2933 (multiplicity 6)

***

# 5
VASP calculation (PBE-GGA) on a geometry-optimized TaP2WS structure.

Values from the calculation:
electronic total energy	-34.67	eV per cell
N(E_F)	1.48	states/eV/atom
raw formation energy	1.0172	eV per atom

Lattice parameters (Å, degrees): 4.689 4.689 4.506 90.00 90.00 90.00
Space group P4/mmm (No. 123)
Unique sites:
Ta  0.000  0.000  0.000 (multiplicity 1)
P  0.000  0.500  0.500 (multiplicity 2)
W  0.500  0.500  0.500 (multiplicity 1)
S  0.500  0.500  0.000 (multiplicity 1)

***

# 6
VASP calculation (PBE-GGA) on a geometry-optimized Zr2ScU structure.

Values from the calculation:
energy of formation from the pure elements	281	meV/atom
electronic total energy	-100.78	eV per cell
N(E_F)	2.19	states/eV/atom

Lattice parameters (Å, degrees): 4.9625 4.9625 12.9362 90.00 90.00 120.00
Space group R-3m (No. 166, hexagonal axes)
Unique sites:
Zr  0.0000  0.0000  0.2331 (multiplicity 6)
Sc  0.0000  0.0000  0.0000 (multiplicity 3)
U  0.0000  0.0000  0.5000 (multiplicity 3)

***

# 7
VASP calculation (PBE-GGA) on a geometry-optimized HgBiC3 structure.

Values from the calculation:
energy of formation from the pure elements	3165	meV/atom
electronic total energy	-16.03	eV per cell
N(E_F)	0.81	states/eV/atom

Lattice parameters (Å, degrees): 4.380 4.380 4.380 90.00 90.00 90.00
Space group Pm-3m (No. 221)
Unique sites:
Hg  0.000  0.000  0.000 (multiplicity 1)
Bi  0.500  0.500  0.500 (multiplicity 1)
C  0.000  0.000  0.500 (multiplicity 3)

***

# 8
VASP calculation (PBE-GGA) on a geometry-optimized BaZrTl2Cl8 structure.

Values from the calculation:
electronic total energy	-50.46	eV per cell
N(E_F)	0.00	states/eV/atom
raw formation energy	-1.7072	eV per atom

Lattice parameters (Å, degrees): 6.902 7.234 8.879 89.93 89.94 87.85
Space group P-1 (No. 2)
Unique sites:
Ba  0.000  0.000  0.000 (multiplicity 1)
Zr  0.000  0.000  0.500 (multiplicity 1)
Tl  0.500  0.500  0.258 (multiplicity 2)
Cl  0.125  0.208  0.296 (multiplicity 2)
Cl  0.126  0.208  0.703 (multiplicity 2)
Cl  0.308  0.820  0.499 (multiplicity 2)
Cl  0.350  0.734  0.000 (multiplicity 2)